(1)
First-principles (PBE) data for Y4Cu2Ni after structural relaxation, as listed in the Alexandria database.

Output
E_form = -0.16 eV per atom
Uncorrected energy = -0.4301 Ry/atom
D(E_F) = 7.35 states/eV per cell
Magnetic moment = 0.00 μB/atom

a = 4.868 Å, b = 4.868 Å, c = 8.415 Å
α = 73.19°, β = 73.19°, γ = 60.00°
Positions (direct):
Cu  0.250  0.250  0.250
Cu  0.750  0.750  0.750
Ni  0.000  0.000  0.000
Y  0.124  0.124  0.629
Y  0.876  0.876  0.371
Y  0.374  0.374  0.878
Y  0.626  0.626  0.122



(2)
First-principles (PBE) data for YCu2Ni4 after structural relaxation, as listed in the Alexandria database.

Output
E above lowest polymorph = 560.3 meV/atom
E_form = 0.40 eV per atom
Uncorrected energy = -0.3673 Ry/atom
D(E_F) = 6.55 states/eV per cell
Magnetic moment = 0.20 μB/atom

a = 5.542 Å, b = 5.542 Å, c = 5.542 Å
α = 101.71°, β = 101.71°, γ = 126.44°
Positions (direct):
Y  0.000  0.000  0.000
Cu  0.250  0.750  0.500
Cu  0.750  0.250  0.500
Ni  0.500  0.723  0.223
Ni  0.723  0.500  0.223
Ni  0.277  0.500  0.777
Ni  0.500  0.277  0.777



(3)
First-principles (PBE) data for Y2Cu15Ni2 after structural relaxation, as listed in the Alexandria database.

Output
E_form = -0.12 eV per atom
Uncorrected energy = -0.3412 Ry/atom
D(E_F) = 10.83 states/eV per cell
Magnetic moment = 0.00 μB/atom

a = 6.431 Å, b = 6.431 Å, c = 6.431 Å
α = 82.89°, β = 82.89°, γ = 82.89°
Positions (direct):
Cu  0.708  0.292  0.000
Cu  0.000  0.000  0.500
Cu  0.000  0.708  0.292
Cu  0.653  0.152  0.653
Cu  0.000  0.292  0.708
Cu  0.347  0.347  0.848
Cu  0.000  0.500  0.000
Cu  0.500  0.000  0.000
Cu  0.708  0.000  0.292
Cu  0.347  0.848  0.347
Cu  0.292  0.000  0.708
Cu  0.152  0.653  0.653
Cu  0.848  0.347  0.347
Cu  0.653  0.653  0.152
Cu  0.292  0.708  0.000
Ni  0.098  0.098  0.098
Ni  0.902  0.902  0.902
Y  0.335  0.335  0.335
Y  0.665  0.665  0.665



(4)
First-principles (PBE) data for YCuNi2 after structural relaxation, as listed in the Alexandria database.

Output
E_form = -0.10 eV per atom
Uncorrected energy = -0.4138 Ry/atom
D(E_F) = 2.29 states/eV per cell
Magnetic moment = 0.00 μB/atom

a = 3.782 Å, b = 3.523 Å, c = 5.116 Å
α = 70.21°, β = 90.00°, γ = 90.00°
Positions (direct):
Y  0.000  0.472  0.437
Cu  0.500  0.764  0.845
Ni  0.500  0.065  0.248
Ni  0.000  0.199  0.970